# 1
Nd4Pt2Rh | PBE-GGA | relaxed

For the energy of formation from the pure elements, the calculation gives -0.786 eV/atom.

The structure belongs to space group Imma (No. 74); the cell edges are 9.1148, 9.1156 and 9.4112 Å and the angles 90.00°, 90.00° and 90.00°. The distinct sites, in fractional coordinates, are Nd at (0.0000, 0.0521, 0.1958), Nd at (0.1980, 0.2500, 0.5542), Pt at (0.0000, 0.0000, 0.5000), Pt at (0.2500, 0.2500, 0.2500) and Rh at (0.0000, 0.2500, 0.8747).


# 2
PmTmMgBi | PBE-GGA | relaxed

For the energy of formation from the pure elements, the calculation gives -0.297 eV/atom.

The structure belongs to space group F-43m (No. 216); the cell edges are 7.7105, 7.7105 and 7.7105 Å and the angles 90.00°, 90.00° and 90.00°. The distinct sites, in fractional coordinates, are Pm at (0.0000, 0.0000, 0.0000), Tm at (0.0000, 0.0000, 0.5000), Mg at (0.2500, 0.2500, 0.2500) and Bi at (0.2500, 0.2500, 0.7500).


# 3
TaSiMo4 | PBE-GGA | relaxed

As for the raw formation energy: 0.234 eV per atom.

The structure belongs to space group F-43m (No. 216); the cell edges are 7.3593, 7.3593 and 7.3593 Å and the angles 90.00°, 90.00° and 90.00°. The distinct sites, in fractional coordinates, are Ta at (0.0000, 0.0000, 0.0000), Si at (0.2500, 0.2500, 0.2500) and Mo at (0.1246, 0.1246, 0.6246).


# 4
BaVSbI2 | PBE-GGA | relaxed

As for the raw formation energy: -0.549 eV per atom.

The structure belongs to space group P4/mmm (No. 123); the cell edges are 5.7080, 5.7080 and 5.3496 Å and the angles 90.00°, 90.00° and 90.00°. The distinct sites, in fractional coordinates, are Ba at (0.0000, 0.0000, 0.0000), V at (0.5000, 0.5000, 0.5000), Sb at (0.5000, 0.5000, 0.0000) and I at (0.0000, 0.5000, 0.5000).


# 5
DyAgSb | PBE-GGA | relaxed

As for the raw formation energy: -0.401 eV per atom.

The structure belongs to space group I4mm (No. 107); the cell edges are 4.1020, 4.1020 and 9.0067 Å and the angles 90.00°, 90.00° and 90.00°. The distinct sites, in fractional coordinates, are Dy at (0.0000, 0.0000, 0.0000), Ag at (0.0000, 0.0000, 0.3308) and Sb at (0.0000, 0.0000, 0.6505).


# 6
PdBrN3 | PBE-GGA | relaxed

As for the raw formation energy: 2.849 eV per atom.

The structure belongs to space group Pm-3m (No. 221); the cell edges are 3.9096, 3.9096 and 3.9096 Å and the angles 90.00°, 90.00° and 90.00°. The distinct sites, in fractional coordinates, are Pd at (0.0000, 0.0000, 0.0000), Br at (0.5000, 0.5000, 0.5000) and N at (0.0000, 0.5000, 0.5000).


# 7
FeRuRh2Pb | PBE-GGA | relaxed

For the energy of formation from the pure elements, the calculation gives 1.058 eV/atom.

The structure belongs to space group P4/mmm (No. 123); the cell edges are 4.7473, 4.7473 and 4.5941 Å and the angles 90.00°, 90.00° and 90.00°. The distinct sites, in fractional coordinates, are Fe at (0.0000, 0.0000, 0.0000), Ru at (0.0000, 0.0000, 0.5000), Rh at (0.0000, 0.5000, 0.5000) and Pb at (0.5000, 0.5000, 0.0000).


# 8
YEr2Rh2 | PBE-GGA | relaxed

For the energy of formation from the pure elements, the calculation gives -0.724 eV/atom.

The structure belongs to space group P2_1/m (No. 11); the cell edges are 5.4587, 4.3436 and 10.3508 Å and the angles 90.00°, 97.35° and 90.00°. The distinct sites, in fractional coordinates, are Y at (0.0940, 0.2500, 0.2896), Er at (0.2490, 0.2500, 0.9692), Er at (0.3874, 0.2500, 0.6183), Rh at (0.1606, 0.7500, 0.4716) and Rh at (0.2662, 0.7500, 0.1421).


# 9
CaZr2Be | PBE-GGA | relaxed

For the energy of formation from the pure elements, the calculation gives 0.605 eV/atom.

The structure belongs to space group Cmmm (No. 65); the cell edges are 6.1085, 9.2668 and 3.1083 Å and the angles 90.00°, 90.00° and 90.00°. The distinct sites, in fractional coordinates, are Ca at (0.0000, 0.0000, 0.0000), Zr at (0.2500, 0.2500, 0.5000) and Be at (0.0000, 0.5000, 0.0000).


# 10
Y2AlOs | PBE-GGA | relaxed

For the energy of formation from the pure elements, the calculation gives 0.063 eV/atom.

The structure belongs to space group R-3m (No. 166, hexagonal axes); the cell edges are 3.4712, 3.4712 and 27.0791 Å and the angles 90.00°, 90.00° and 120.00°. The distinct sites, in fractional coordinates, are Y at (0.0000, 0.0000, 0.2407), Al at (0.0000, 0.0000, 0.0000) and Os at (0.0000, 0.0000, 0.5000).


# 11
Sr2CeCu2O6 | PBE-GGA | relaxed

As for the raw formation energy: -1.985 eV per atom.

The structure belongs to space group R-3m (No. 166, hexagonal axes); the cell edges are 5.9920, 5.9920 and 17.2965 Å and the angles 90.00°, 90.00° and 120.00°. The distinct sites, in fractional coordinates, are Sr at (0.0000, 0.0000, 0.2043), Ce at (0.0000, 0.0000, 0.0000), Cu at (0.0000, 0.0000, 0.4223) and O at (0.0224, 0.5112, 0.7571).


# 12
AcTiGe2 | PBE-GGA | relaxed

For the energy of formation from the pure elements, the calculation gives -0.425 eV/atom.

The structure belongs to space group P4/mmm (No. 123); the cell edges are 3.6426, 3.6426 and 6.6315 Å and the angles 90.00°, 90.00° and 90.00°. The distinct sites, in fractional coordinates, are Ac at (0.0000, 0.0000, 0.0000), Ti at (0.0000, 0.0000, 0.5000) and Ge at (0.5000, 0.5000, 0.3127).


Number 9 is which compound? CaZr2Be